A plane-wave DFT calculation with PBE-GGA was carried out for crystalline HfPa2Sb at its relaxed geometry.

Crystal system: monoclinic
Energy above the most stable polymorph in this dataset in eV per atom: 0.053
Spin magnetization in μB/cell: 0.0
E_form (uncorrected) in kJ/mol of formula units: -79

Unit cell a=4.1826 b=4.2658 c=10.9983 alpha=90.00 beta=100.99 gamma=90.00
Last column: nearest neighbours and their distance in Å.
Positions (direct):
Hf 0.1895 0.2500 0.3773  5 Sb 2.90-3.00
Hf 0.8105 0.7500 0.6227  5 Sb 2.90-3.00
Pa 0.0577 0.7500 0.1155  6 Pa 2.99-3.28, 2 Sb 3.31-3.32
Pa 0.4343 0.7500 0.8692  4 Pa 2.99, 2 Sb 3.22
Pa 0.5657 0.2500 0.1308  4 Pa 2.99, 2 Sb 3.22
Pa 0.9423 0.2500 0.8845  6 Pa 2.99-3.28, 2 Sb 3.31-3.32
Sb 0.3224 0.2500 0.6463  5 Hf 2.90-3.00, 2 Pa 3.22
Sb 0.6776 0.7500 0.3537  5 Hf 2.90-3.00, 2 Pa 3.22

***

A plane-wave DFT calculation with PBE-GGA was carried out for crystalline Hf2PaSb at its relaxed geometry.

Crystal system: trigonal
Energy above the most stable polymorph in this dataset in eV per atom: 0.479
Spin magnetization in μB/cell: 0.0
E_form (uncorrected) in kJ/mol of formula units: 100

Unit cell a=3.1617 b=3.1617 c=32.9489 alpha=90.00 beta=90.00 gamma=120.00
Last column: nearest neighbours and their distance in Å.
Positions (direct):
Hf 0.0000 0.0000 0.0920  1 Pa 3.03, 3 Sb 3.06, 6 Hf 3.16
Hf 0.0000 0.0000 0.9080  1 Pa 3.03, 3 Sb 3.06, 6 Hf 3.16
Hf 0.3333 0.6667 0.5747  1 Pa 3.03, 3 Sb 3.06, 6 Hf 3.16
Hf 0.3333 0.6667 0.7587  1 Pa 3.03, 3 Sb 3.06, 6 Hf 3.16
Hf 0.6667 0.3333 0.2413  1 Pa 3.03, 3 Sb 3.06, 6 Hf 3.16
Hf 0.6667 0.3333 0.4253  1 Pa 3.03, 3 Sb 3.06, 6 Hf 3.16
Pa 0.0000 0.0000 0.0000  2 Hf 3.03, 6 Pa 3.16
Pa 0.3333 0.6667 0.6667  2 Hf 3.03, 6 Pa 3.16
Pa 0.6667 0.3333 0.3333  2 Hf 3.03, 6 Pa 3.16
Sb 0.0000 0.0000 0.5000  6 Hf 3.06, 6 Sb 3.16
Sb 0.3333 0.6667 0.1667  6 Hf 3.06, 6 Sb 3.16
Sb 0.6667 0.3333 0.8333  6 Hf 3.06, 6 Sb 3.16